(1)
Compound: ZrP3F
Source: Alexandria via LeMat-Bulk
Functional: PBE-GGA
Structure: optimized geometry

Summary:
Crystal system: cubic

Lattice parameters (Å, degrees): 4.9872 4.9872 4.9872 90.00 90.00 90.00
With the nearest neighbours (Å) after each atom.
Space group Pm-3m (No. 221)
Symmetry-distinct sites (fractional):
Zr: 0.0000 0.0000 0.0000 x1  6 P 2.49
P: 0.0000 0.0000 0.5000 x3  2 Zr 2.49
F: 0.5000 0.5000 0.5000 x1  12 P 3.53

(2)
Compound: PaF6
Source: Alexandria via LeMat-Bulk
Functional: PBE-GGA
Structure: optimized geometry

Summary:
Crystal system: cubic

Lattice parameters (Å, degrees): 6.7322 6.7322 6.7322 90.00 90.00 90.00
With the nearest neighbours (Å) after each atom.
Space group Im-3m (No. 229)
Symmetry-distinct sites (fractional):
Pa: 0.0000 0.0000 0.0000 x2  6 F 2.08
F: 0.0000 0.0000 0.3090 x12  1 Pa 2.08

(3)
Compound: PaF4
Source: Alexandria via LeMat-Bulk
Functional: PBE-GGA
Structure: optimized geometry

Summary:
Crystal system: cubic

Lattice parameters (Å, degrees): 4.4300 4.4300 4.4300 90.00 90.00 90.00
With the nearest neighbours (Å) after each atom.
Space group Pm-3m (No. 221)
Symmetry-distinct sites (fractional):
Pa: 0.0000 0.0000 0.0000 x1  6 F 2.21
F: 0.0000 0.0000 0.5000 x3  2 Pa 2.21
F: 0.5000 0.5000 0.5000 x1  12 F 3.13

(4)
Compound: PaF4
Source: Alexandria via LeMat-Bulk
Functional: PBE-GGA
Structure: optimized geometry

Summary:
Crystal system: tetragonal

Lattice parameters (Å, degrees): 5.2000 5.2000 5.3363 90.00 90.00 90.00
With the nearest neighbours (Å) after each atom.
Space group P-42_1c (No. 114)
Symmetry-distinct sites (fractional):
Pa: 0.0000 0.0000 0.0000 x2  8 F 2.29-2.35
F: 0.1932 0.2429 0.3200 x8  2 Pa 2.29-2.35

no.,VASP energy (eV/atom),density of states at the Fermi level (states/eV/f.u.)
1,-5.030,2.53
2,-6.062,5.43
3,-6.745,0.67
4,-7.191,4.38